Here is Sr2EuNbCu2O8 after structural relaxation from Alexandria. Energies are from GGA-PBE.

Cell: 12.5004 12.5004 12.5004 Å, 154.54 154.54 36.32°
Last column: nearest neighbours and their distance in Å.
Sites, in units of the cell vectors:
Eu 0.2500 0.7500 0.5000  8 O 2.49-2.51
Eu 0.7500 0.2500 0.5000  8 O 2.49-2.51
Sr 0.5999 0.0999 0.5000  10 O 2.76-2.81
Sr 0.4001 0.9001 0.5000  10 O 2.76-2.81
Sr 0.0999 0.5999 0.5000  10 O 2.76-2.81
Sr 0.9001 0.4001 0.5000  10 O 2.76-2.81
Nb 0.5000 0.5000 0.0000  6 O 1.98-2.02
Nb 0.0000 0.0000 0.0000  6 O 1.98-2.02
O 0.6803 0.8197 0.5000  2 Nb 2.02
O 0.8197 0.3197 0.1394  2 Nb 2.02
O 0.1803 0.6803 0.8606  2 Nb 2.02
O 0.3197 0.1803 0.5000  2 Nb 2.02
O 0.9359 0.9328 0.5000  2 Cu 1.95
O 0.0641 0.0672 0.5000  2 Cu 1.95
O 0.5672 0.5641 0.5000  2 Cu 1.95
O 0.5641 0.0641 0.9969  2 Cu 1.95
O 0.0672 0.5672 0.0031  2 Cu 1.95
O 0.9328 0.4328 0.9969  2 Cu 1.95
O 0.4359 0.9359 0.0031  2 Cu 1.95
O 0.4328 0.4359 0.5000  2 Cu 1.95
O 0.0835 0.0835 0.0000  1 Nb 1.98
O 0.4165 0.4165 0.0000  1 Nb 1.98
O 0.9165 0.9165 0.0000  1 Nb 1.98
O 0.5835 0.5835 0.0000  1 Nb 1.98
Cu 0.6784 0.6784 0.0000  4 O 1.95
Cu 0.8216 0.8216 0.0000  4 O 1.95
Cu 0.3216 0.3216 0.0000  4 O 1.95
Cu 0.1784 0.1784 0.0000  4 O 1.95

Values from the calculation:
Fermi-level density of states	16.1	states/eV per cell
uncorrected energy	-102.21	eV per formula unit
volume	360.6	Å³ per cell
space-group type	I4/mcm, No. 140
uncorrected formation energy	-2.189	eV per atom